Entry 1:
A plane-wave DFT calculation with PBE-GGA was carried out for a relaxed structure of ScInBr4.

SG = F-43m (216)
energy relative to the lowest polymorph listed for this composition = 1.504 eV/atom

POSCAR file:
```
ScInBr4
1.0
-5.998 -0.675 2.064
-3.184 5.046 2.256
-4.825 2.486 -3.351
In Br Sc
1 4 1
direct
0.750 0.750 0.750 In
0.374 0.877 0.374 Br
0.877 0.374 0.374 Br
0.374 0.374 0.877 Br
0.374 0.374 0.374 Br
0.000 0.000 0.000 Sc
```



Entry 2:
A plane-wave DFT calculation with PBE-GGA was carried out for a relaxed structure of ScIn2Br.

SG = R-3m (166)
energy relative to the lowest polymorph listed for this composition = 0.329 eV/atom

POSCAR file:
```
ScIn2Br
1.0
9.685 0.006 0.004
9.041 3.473 0.004
9.041 1.680 3.040
Br Sc In
1 1 2
direct
0.250 0.250 0.250 Br
0.750 0.750 0.750 Sc
0.000 0.000 0.000 In
0.500 0.500 0.500 In
```



Entry 3:
A plane-wave DFT calculation with PBE-GGA was carried out for a relaxed structure of ScIn2Br.

SG = I-42d (122)
energy relative to the lowest polymorph listed for this composition = 0.438 eV/atom

POSCAR file:
```
ScIn2Br
1.0
-2.600 -8.714 -3.304
9.309 -2.263 -1.354
3.477 -6.459 0.134
Br Sc In
2 2 4
direct
0.750 0.250 0.500 Br
0.000 0.000 0.000 Br
0.500 0.500 0.000 Sc
0.250 0.750 0.500 Sc
0.375 0.441 0.750 In
0.875 0.809 0.750 In
0.559 0.125 0.250 In
0.191 0.625 0.250 In
```



Entry 4:
A plane-wave DFT calculation with PBE-GGA was carried out for a relaxed structure of ScInBr4.

SG = P-1 (2)
energy relative to the lowest polymorph listed for this composition = 0.000 eV/atom

POSCAR file:
```
ScInBr4
1.0
4.017 -0.007 -0.001
-2.011 6.567 -1.684
0.002 -0.095 8.193
Sc Br In
1 4 1
direct
0.000 0.000 0.000 Sc
0.122 0.242 0.305 Br
0.614 0.227 0.914 Br
0.878 0.758 0.695 Br
0.386 0.773 0.086 Br
0.500 0.000 0.500 In
```



Entry 5:
A plane-wave DFT calculation with PBE-GGA was carried out for a relaxed structure of ScIn2Br.

SG = P2/m (10)
energy relative to the lowest polymorph listed for this composition = 0.277 eV/atom

POSCAR file:
```
ScIn2Br
1.0
5.284 0.000 0.000
0.000 3.502 0.002
0.000 3.433 5.607
In Sc Br
2 1 1
direct
0.000 0.482 0.495 In
0.000 0.018 0.005 In
0.500 0.250 0.250 Sc
0.500 0.750 0.750 Br
```



Entry 6:
A plane-wave DFT calculation with PBE-GGA was carried out for a relaxed structure of ScIn4Br.

SG = F-43m (216)

POSCAR file:
```
ScIn4Br
1.0
0.000 4.293 4.293
4.293 0.000 4.293
4.293 4.293 0.000
Br Sc In
1 1 4
direct
0.000 0.000 0.000 Br
0.750 0.750 0.750 Sc
0.375 0.375 0.375 In
0.375 0.874 0.375 In
0.375 0.375 0.874 In
0.874 0.375 0.375 In
```



Entry 7:
A plane-wave DFT calculation with PBE-GGA was carried out for a relaxed structure of ScIn4Br6.

SG = P4/mnc (128)

POSCAR file:
```
ScIn4Br6
1.0
8.531 0.000 0.000
0.000 8.531 0.000
0.000 0.000 10.273
In Br Sc
8 12 2
direct
0.646 0.854 0.250 In
0.354 0.146 0.750 In
0.854 0.354 0.250 In
0.146 0.646 0.750 In
0.146 0.646 0.250 In
0.354 0.146 0.250 In
0.854 0.354 0.750 In
0.646 0.854 0.750 In
0.500 0.500 0.735 Br
0.000 0.000 0.235 Br
0.780 0.649 0.000 Br
0.720 0.149 0.500 Br
0.000 0.000 0.765 Br
0.280 0.851 0.500 Br
0.149 0.280 0.500 Br
0.220 0.351 0.000 Br
0.649 0.220 0.000 Br
0.351 0.780 0.000 Br
0.500 0.500 0.265 Br
0.851 0.720 0.500 Br
0.000 0.000 0.500 Sc
0.500 0.500 0.000 Sc
```



Entry 8:
A plane-wave DFT calculation with PBE-GGA was carried out for a relaxed structure of ScIn2Br.

SG = Immm (71)
energy relative to the lowest polymorph listed for this composition = 0.179 eV/atom

POSCAR file:
```
ScIn2Br
1.0
-5.223 1.754 5.473
-4.545 -1.288 6.164
2.353 1.390 3.807
In Br Sc
2 1 1
direct
0.057 0.057 0.943 In
0.443 0.443 0.557 In
0.250 0.250 0.250 Br
0.750 0.750 0.750 Sc
```



Entry 9:
A plane-wave DFT calculation with PBE-GGA was carried out for a relaxed structure of ScInBr3.

SG = Pm-3m (221)

POSCAR file:
```
ScInBr3
1.0
5.406 0.000 0.000
0.000 5.406 0.000
0.000 0.000 5.406
Sc Br In
1 3 1
direct
0.000 0.000 0.000 Sc
0.000 0.500 0.000 Br
0.500 0.000 0.000 Br
0.000 0.000 0.500 Br
0.500 0.500 0.500 In
```



Entry 10:
A plane-wave DFT calculation with PBE-GGA was carried out for a relaxed structure of ScIn3Br.

SG = Pm-3m (221)
energy relative to the lowest polymorph listed for this composition = 0.182 eV/atom

POSCAR file:
```
ScIn3Br
1.0
-2.882 4.807 0.399
-3.365 -2.337 3.846
3.456 1.734 4.077
Sc In Br
1 3 1
direct
0.500 0.500 0.500 Sc
0.000 0.000 0.500 In
0.000 0.500 0.000 In
0.500 0.000 0.000 In
0.000 0.000 0.000 Br
```



Entry 11:
A plane-wave DFT calculation with PBE-GGA was carried out for a relaxed structure of ScIn2Br.

SG = R3m (160)
energy relative to the lowest polymorph listed for this composition = 0.000 eV/atom

POSCAR file:
```
ScIn2Br
1.0
10.633 0.063 0.037
10.027 3.537 0.037
10.027 1.747 3.076
Sc Br In
1 1 2
direct
0.498 0.498 0.498 Sc
0.775 0.775 0.775 Br
0.239 0.239 0.239 In
0.988 0.988 0.988 In
```



Entry 12:
A plane-wave DFT calculation with PBE-GGA was carried out for a relaxed structure of ScInBr.

SG = Fmm2 (42)
energy relative to the lowest polymorph listed for this composition = 0.161 eV/atom

POSCAR file:
```
ScInBr
1.0
-0.491 3.369 7.870
-3.182 1.200 7.512
2.748 -1.155 1.784
In Sc Br
1 1 1
direct
0.305 0.305 0.695 In
0.658 0.658 0.342 Sc
0.037 0.037 0.963 Br
```



Number 1: ΔE_f (raw) 0.168 eV/atom, M_tot 0.1 μB per cell, energy -2.459 eV/atom. Number 2: ΔE_f (raw) -0.240 eV/atom, M_tot 0.0 μB per cell, energy -3.611 eV/atom. Number 3: ΔE_f (raw) -0.132 eV/atom, M_tot 0.0 μB per cell, energy -3.502 eV/atom. Number 4: ΔE_f (raw) -1.336 eV/atom, M_tot 0.0 μB per cell, energy -3.963 eV/atom. Number 5: ΔE_f (raw) -0.292 eV/atom, M_tot 0.0 μB per cell, energy -3.663 eV/atom. Number 6: ΔE_f (raw) -0.048 eV/atom, M_tot 0.0 μB per cell, energy -3.207 eV/atom. Number 7: ΔE_f (raw) -0.890 eV/atom, M_tot 1.3 μB per cell, energy -3.374 eV/atom. Number 8: ΔE_f (raw) -0.391 eV/atom, M_tot 0.2 μB per cell, energy -3.761 eV/atom. Number 9: ΔE_f (raw) -1.071 eV/atom, M_tot 1.0 μB per cell, energy -3.889 eV/atom. Number 10: ΔE_f (raw) 0.474 eV/atom, M_tot 0.0 μB per cell, energy -2.770 eV/atom. Number 11: ΔE_f (raw) -0.570 eV/atom, M_tot 0.5 μB per cell, energy -3.940 eV/atom. Number 12: ΔE_f (raw) -0.546 eV/atom, M_tot 0.0 μB per cell, energy -4.126 eV/atom.